First-principles (PBE) data for a geometry-optimized NaCu3Pt structure, as listed in Alexandria.

Structure (extended XYZ):
```
5
Lattice="-1.817 -3.926 0.093 3.192 -1.417 2.556 -2.288 1.142 3.491" Properties=species:S:1:pos:R:3 pbc="T T T"
Cu -0.909 -1.963 0.046
Cu 1.596 -0.708 1.278
Cu -1.144 0.571 1.745
Na 0.000 0.000 0.000
Pt -0.457 -2.101 3.070
```

Summary:
The uncorrected energy is -2.702 eV per atom. As for the formation energy: 6.14 eV/f.u. The density of states at the Fermi level is 1.05 states/eV/f.u. Its total moment is 0.0 μB per formula unit. As for the space-group type: Pm-3m.